The following is a DFT calculation (PBE) of a relaxed structure of Tb3Sm2In2.

Cell lengths 4.7691, 24.5990, 3.4784 Å; angles 90.00, 90.00, 90.00 degrees
Closest atoms and distances in Å follow each position.
Space group Cmmm (No. 65)
One atom of each set of equivalent atoms:
Tb: 0.0000 0.0000 0.0000 (multiplicity 2)  4 Tb 3.37-3.48, 8 In 3.42
Tb: 0.0000 0.1372 0.0000 (multiplicity 4)  3 Tb 3.37-3.48, 4 In 3.38, 4 Sm 3.47
Sm: 0.0000 0.2887 0.5000 (multiplicity 4)  2 Sm 3.05
In: 0.0000 0.4296 0.5000 (multiplicity 4)  8 Tb 3.38-3.42, 3 In 3.46-3.48, 1 Sm 3.47

Results
The electronic total energy comes out at -59.84 eV per cell.


The following is a DFT calculation (PBE) of a relaxed structure of Tb4Sm5In4.

Cell lengths 12.3855, 12.3855, 5.1379 Å; angles 90.00, 90.00, 90.00 degrees
Closest atoms and distances in Å follow each position.
Space group I4/m (No. 87)
One atom of each set of equivalent atoms:
Tb: 0.0959 0.6090 0.0000 (multiplicity 8)  3 In 3.16-3.31
Sm: 0.0000 0.0000 0.0000 (multiplicity 2)  4 In 3.20
Sm: 0.0976 0.8108 0.5000 (multiplicity 8)  3 In 3.25-3.27, 2 Tb 3.58
In: 0.1068 0.2354 0.0000 (multiplicity 8)  3 Tb 3.16-3.31, 4 Sm 3.20-3.27

Results
The electronic total energy comes out at -114.35 eV per cell.


The following is a DFT calculation (PBE) of a relaxed structure of TbSmInTc.

Cell lengths 7.2670, 7.2670, 7.2670 Å; angles 90.00, 90.00, 90.00 degrees
Closest atoms and distances in Å follow each position.
Space group F-43m (No. 216)
One atom of each set of equivalent atoms:
Tb: 0.0000 0.0000 0.0000 (multiplicity 4)  4 Tc 3.15, 4 In 3.15
Sm: 0.0000 0.0000 0.5000 (multiplicity 4)  4 In 3.15, 4 Tc 3.15
In: 0.2500 0.2500 0.7500 (multiplicity 4)  4 Tb 3.15, 4 Sm 3.15
Tc: 0.2500 0.2500 0.2500 (multiplicity 4)  4 Tb 3.15, 4 Sm 3.15

Results
The electronic total energy comes out at -91.29 eV per cell.